Record 1
The following is a GGA-PBE calculation of a relaxed Te2PdSe crystal, from Alexandria via LeMat-Bulk.

Summary:
raw total energy: -3.820 eV/atom
spin magnetization: 0.00 μB/cell
calculated density: 6941 kg/m3
E_form (uncorrected): -0.3 eV/f.u.

abc: 17.6986 3.9310 6.0600
angles: 90.00 90.00 90.00
Closest atoms and distances in Å follow each position.
Space group Pnma (No. 62)
Unique sites:
Te 0.0269 0.2500 0.1900 x4  3 Te 2.88-3.17, 1 Se 3.16
Te 0.1154 0.2500 0.5898 x4  2 Pd 2.69, 1 Te 2.88
Pd 0.1776 0.7500 0.3481 x4  3 Se 2.56-2.58, 2 Te 2.69
Se 0.2015 0.2500 0.0810 x4  3 Pd 2.56-2.58

Record 2
The following is a GGA-PBE calculation of a relaxed Te2Pd3Se4 crystal, from Alexandria via LeMat-Bulk.

Summary:
raw total energy: -4.075 eV/atom
spin magnetization: 0.00 μB/cell
calculated density: 6894 kg/m3
E_form (uncorrected): -0.9 eV/f.u.

abc: 3.8187 3.8187 16.9805
angles: 90.00 90.00 120.00
Closest atoms and distances in Å follow each position.
Space group P-6m2 (No. 187)
Unique sites:
Te 0.0000 0.0000 0.0940 x2  3 Pd 2.72
Pd 0.0000 0.0000 0.3390 x2  6 Se 2.59-2.62
Pd 0.6667 0.3333 0.0000 x1  6 Te 2.72
Se 0.6667 0.3333 0.2594 x2  3 Pd 2.59, 1 Se 2.77
Se 0.6667 0.3333 0.4225 x2  3 Pd 2.62, 2 Se 2.63-2.77